! GGA+U NaMnBO4, optimized geometry; values from VASP
&SYSTEM
  ibrav = 0, nat = 7, ntyp = 4
/
ATOMIC_SPECIES
B 10.81 B.upf
Na 22.99 Na.upf
O 16.00 O.upf
Mn 54.94 Mn.upf
CELL_PARAMETERS angstrom
5.0486 0.0000 0.0000
0.0000 5.0486 0.0000
-2.5243 -2.5243 3.4383
ATOMIC_POSITIONS crystal
B 0.2500 0.7500 0.5000
Na 0.0000 0.0000 0.0000
O 0.2397 0.0760 0.7365
O 0.4968 0.6605 0.7365
O 0.3395 0.7603 0.2635
O 0.9240 0.5032 0.2635
Mn 0.5000 0.5000 0.0000
! D(E_F): 2.2 states/eV/cell
! Calculated total energy: -6.74 eV per atom